# CsNa2In2 GGA-PBE relaxed
data_CsNa2In2
_cell_length_a 9.772
_cell_length_b 9.772
_cell_length_c 3.738
_cell_angle_alpha 90.00
_cell_angle_beta 90.00
_cell_angle_gamma 90.00
_symmetry_space_group_name_H-M 'P 4/m b m'
_symmetry_Int_Tables_number 127
_symmetry_space_group_name_Hall '-P 4 2ab'
loop_
_atom_site_label
_atom_site_fract_x
_atom_site_fract_y
_atom_site_fract_z
_atom_site_occupancy
Cs1 0.000 0.000 0.000 1
Na1 0.177 0.323 0.500 1
In1 0.108 0.608 0.000 1
# ρ ... 3800 kg/m³
# Energy of formation from the pure elements ... -0.14 eV/f.u.
# Calculated volume ... 35.7 Å³ per atom
# Magnetization ... 0.000 μB/cell
# Energy above the most stable polymorph in this dataset ... 0.05 eV per formula unit

=====

# CsNaIn4 GGA-PBE relaxed
data_CsNaIn4
_cell_length_a 9.202
_cell_length_b 9.202
_cell_length_c 9.202
_cell_angle_alpha 90.00
_cell_angle_beta 90.00
_cell_angle_gamma 90.00
_symmetry_space_group_name_H-M 'F -4 3 m'
_symmetry_Int_Tables_number 216
_symmetry_space_group_name_Hall 'F -4 2 3'
loop_
_atom_site_label
_atom_site_fract_x
_atom_site_fract_y
_atom_site_fract_z
_atom_site_occupancy
Cs1 0.000 0.000 0.000 1
Na1 0.250 0.250 0.250 1
In1 0.125 0.125 0.625 1
# ρ ... 5243 kg/m³
# Energy of formation from the pure elements ... -0.31 eV/f.u.
# Calculated volume ... 32.5 Å³ per atom
# Magnetization ... 0.000 μB/cell

=====

# Cs2Na2In GGA-PBE relaxed
data_Cs2Na2In
_cell_length_a 8.793
_cell_length_b 8.793
_cell_length_c 6.748
_cell_angle_alpha 90.00
_cell_angle_beta 90.00
_cell_angle_gamma 90.00
_symmetry_space_group_name_H-M 'P 4/m b m'
_symmetry_Int_Tables_number 127
_symmetry_space_group_name_Hall '-P 4 2ab'
loop_
_atom_site_label
_atom_site_fract_x
_atom_site_fract_y
_atom_site_fract_z
_atom_site_occupancy
Cs1 0.185 0.315 0.000 1
Na1 0.152 0.652 0.500 1
In1 0.000 0.000 0.500 1
# ρ ... 2716 kg/m³
# Energy of formation from the pure elements ... 0.34 eV/f.u.
# Calculated volume ... 52.2 Å³ per atom
# Magnetization ... 1.077 μB/cell

=====

# CsNa2In2 GGA-PBE relaxed
data_CsNa2In2
_cell_length_a 5.306
_cell_length_b 8.594
_cell_length_c 9.362
_cell_angle_alpha 90.00
_cell_angle_beta 90.00
_cell_angle_gamma 90.00
_symmetry_space_group_name_H-M 'C m m m'
_symmetry_Int_Tables_number 65
_symmetry_space_group_name_Hall '-C 2 2'
loop_
_atom_site_label
_atom_site_fract_x
_atom_site_fract_y
_atom_site_fract_z
_atom_site_occupancy
Cs1 0.000 0.000 0.000 1
Na1 0.000 0.500 0.323 1
In1 0.000 0.170 0.500 1
# ρ ... 3178 kg/m³
# Energy of formation from the pure elements ... -0.20 eV/f.u.
# Calculated volume ... 42.7 Å³ per atom
# Magnetization ... 0.000 μB/cell
# Energy above the most stable polymorph in this dataset ... 0.00 eV per formula unit

=====

# Cs3NaIn GGA-PBE relaxed
data_Cs3NaIn
_cell_length_a 7.496
_cell_length_b 7.496
_cell_length_c 7.496
_cell_angle_alpha 90.00
_cell_angle_beta 90.00
_cell_angle_gamma 90.00
_symmetry_space_group_name_H-M 'P m -3 m'
_symmetry_Int_Tables_number 221
_symmetry_space_group_name_Hall '-P 4 2 3'
loop_
_atom_site_label
_atom_site_fract_x
_atom_site_fract_y
_atom_site_fract_z
_atom_site_occupancy
Cs1 0.000 0.000 0.500 1
Na1 0.500 0.500 0.500 1
In1 0.000 0.000 0.000 1
# ρ ... 2115 kg/m³
# Energy of formation from the pure elements ... 0.72 eV/f.u.
# Calculated volume ... 84.2 Å³ per atom
# Magnetization ... 0.000 μB/cell
# Energy above the most stable polymorph in this dataset ... 0.00 eV per formula unit

=====

# CsNa10In2 GGA-PBE relaxed
data_CsNa10In2
_cell_length_a 11.951
_cell_length_b 13.609
_cell_length_c 11.793
_cell_angle_alpha 90.00
_cell_angle_beta 90.00
_cell_angle_gamma 90.00
_symmetry_space_group_name_H-M 'C m c m'
_symmetry_Int_Tables_number 63
_symmetry_space_group_name_Hall '-C 2c 2'
loop_
_atom_site_label
_atom_site_fract_x
_atom_site_fract_y
_atom_site_fract_z
_atom_site_occupancy
Cs1 0.000 0.121 0.250 1
Na1 0.000 0.170 0.592 1
Na2 0.000 0.380 0.056 1
Na3 0.148 0.375 0.750 1
Na4 0.230 0.000 0.000 1
Na5 0.232 0.356 0.250 1
In1 0.250 0.250 0.000 1
# ρ ... 2052 kg/m³
# Energy of formation from the pure elements ... -0.39 eV/f.u.
# Calculated volume ... 36.9 Å³ per atom
# Magnetization ... 0.000 μB/cell

=====

# Cs2NaIn2 GGA-PBE relaxed
data_Cs2NaIn2
_cell_length_a 11.668
_cell_length_b 11.668
_cell_length_c 3.779
_cell_angle_alpha 90.00
_cell_angle_beta 90.00
_cell_angle_gamma 90.00
_symmetry_space_group_name_H-M 'P 4/m b m'
_symmetry_Int_Tables_number 127
_symmetry_space_group_name_Hall '-P 4 2ab'
loop_
_atom_site_label
_atom_site_fract_x
_atom_site_fract_y
_atom_site_fract_z
_atom_site_occupancy
Cs1 0.199 0.301 0.000 1
Na1 0.000 0.000 0.000 1
In1 0.089 0.589 0.500 1
# ρ ... 3347 kg/m³
# Energy of formation from the pure elements ... 0.78 eV/f.u.
# Calculated volume ... 51.4 Å³ per atom
# Magnetization ... 0.000 μB/cell
# Energy above the most stable polymorph in this dataset ... 0.61 eV per formula unit

=====

# CsNa2In GGA-PBE relaxed
data_CsNa2In
_cell_length_a 6.409
_cell_length_b 5.428
_cell_length_c 11.602
_cell_angle_alpha 90.00
_cell_angle_beta 103.73
_cell_angle_gamma 90.00
_symmetry_space_group_name_H-M 'P 1 21/m 1'
_symmetry_Int_Tables_number 11
loop_
_symmetry_equiv_pos_as_xyz
'x,y,z'
'-x,-y,-z'
'-x,y+1/2,-z'
'x,-y+1/2,z'
loop_
_atom_site_label
_atom_site_fract_x
_atom_site_fract_y
_atom_site_fract_z
_atom_site_occupancy
Cs1 0.188 0.250 0.350 1
Na1 0.132 0.750 0.036 1
Na2 0.341 0.250 0.783 1
In1 0.438 0.250 0.066 1
# ρ ... 2488 kg/m³
# Energy of formation from the pure elements ... -0.10 eV/f.u.
# Calculated volume ... 49.0 Å³ per atom
# Magnetization ... 0.000 μB/cell